Compound: ThGa2Rh
Source: the Alexandria database
Functional: GGA-PBE
Structure: optimized geometry

Unit cell a=5.7127 b=5.7127 c=5.7127 alpha=43.85 beta=43.85 gamma=43.85
Closest atoms and distances in Å follow each position.
Fractional coordinates of all 4 atoms:
1 Th 0.0000 0.0000 0.0000  8 Ga 3.09-3.29
2 Ga 0.2131 0.2131 0.2131  3 Rh 2.57, 3 Ga 2.85
3 Ga 0.7869 0.7869 0.7869  3 Rh 2.57, 3 Ga 2.85
4 Rh 0.5000 0.5000 0.5000  6 Ga 2.57

## Properties
- electronic total energy (eV/atom) = -5.89
- calculated density (g cm⁻³) = 9.70
- formation energy (kJ per mole of atoms) = -65.7
- total magnetic moment (μB/f.u.) = 0.000
- crystal system = trigonal